(1)
# Cs2TiZnH

A relaxed Cs2TiZnH crystal (GGA-PBE, Alexandria via LeMat-Bulk).

Properties
Symmetry: P4/mmm, No. 123
Volume (Å³ per atom): 32.70
VASP energy (eV per formula unit): -11.23
Crystal system: tetragonal

Lattice parameters (Å, degrees): 6.5210 3.8454 6.5210 90.00 90.00 90.00
Atoms (fractional coordinates):
Cs 0.5000 0.0000 0.0000
Cs 0.0000 0.0000 0.5000
Ti 0.0000 0.5000 0.0000
H 0.0000 0.0000 0.0000
Zn 0.5000 0.5000 0.5000

(2)
# Cs2TlH3

A relaxed Cs2TlH3 crystal (GGA-PBE, Alexandria via LeMat-Bulk).

Properties
Symmetry: Fmmm, No. 69
Volume (Å³ per atom): 32.49
VASP energy (eV per formula unit): -13.66
Crystal system: orthorhombic

Lattice parameters (Å, degrees): 5.5893 5.5893 13.1081 102.59 102.59 88.70
Atoms (fractional coordinates):
Cs 0.7500 0.2500 0.5000
Cs 0.2302 0.2302 0.0000
Cs 0.7698 0.7698 0.0000
Cs 0.2500 0.7500 0.5000
H 0.3855 0.7417 0.1272
H 0.7969 0.7969 0.5939
H 0.6145 0.2583 0.8728
H 0.2583 0.6145 0.8728
H 0.7417 0.3855 0.1272
H 0.2031 0.2031 0.4061
Tl 0.3734 0.3734 0.7469
Tl 0.6266 0.6266 0.2531

(3)
# CsTlH

A relaxed CsTlH crystal (GGA-PBE, Alexandria via LeMat-Bulk).

Properties
Symmetry: Amm2, No. 38
Volume (Å³ per atom): 31.23
Offset from the most stable computed form (eV per atom): 0.050
VASP energy (eV per formula unit): -6.77
Crystal system: orthorhombic

Lattice parameters (Å, degrees): 4.1081 3.9736 22.9590 90.00 90.00 90.00
Atoms (fractional coordinates):
H 0.5000 0.0000 0.9931
H 0.0000 0.5000 0.6429
H 0.0000 0.0000 0.1429
H 0.5000 0.5000 0.4931
Tl 0.5000 0.5000 0.4044
Tl 0.0000 0.5000 0.8345
Tl 0.5000 0.0000 0.9044
Tl 0.0000 0.0000 0.3345
Cs 0.5000 0.0000 0.7003
Cs 0.5000 0.5000 0.2003
Cs 0.0000 0.0000 0.5353
Cs 0.0000 0.5000 0.0353